one.
Density functional theory data (meta-GGA SCAN) for a PBEsol-optimized structure of CdRu2Cl.

Total magnetic moment: 4.6 μB per formula unit
Theoretical density: 8.64 Mg/m³
V: 67 Å³ per cell

Cell lengths 3.787, 3.787, 4.692 Å; angles 90.00, 90.00, 90.00 degrees
Last column: magnetic moment on the atom in μB.
Element x y z (fractional)
Ru1 0.500 0.000 0.000  2.12
Ru2 0.000 0.500 0.000  2.12
Cl1 0.000 0.000 0.500  0.18
Cd1 0.500 0.500 0.500  -0.03

=====

two.
Density functional theory data (meta-GGA SCAN) for a PBEsol-optimized structure of CdRu2Cl.

Total magnetic moment: 0.0 μB per formula unit
Theoretical density: 9.27 Mg/m³
V: 63 Å³ per cell

Cell lengths 2.874, 2.874, 8.923 Å; angles 80.73, 80.73, 60.00 degrees
Element x y z (fractional)
Cl1 0.261 0.261 0.216
Cd1 0.496 0.496 0.511
Ru1 0.741 0.741 0.776
Ru2 0.001 0.001 0.997

=====

Winner for stability: two

=====

one.
Density functional theory data (meta-GGA SCAN) for a PBEsol-optimized structure of Cd5S4Cl2.

Total magnetic moment: 0.0 μB per formula unit
Theoretical density: 4.36 Mg/m³
V: 580 Å³ per cell

Cell lengths 6.603, 9.962, 9.962 Å; angles 77.97, 70.64, 70.64 degrees
Element x y z (fractional)
Cl1 0.194 0.392 0.608
Cl2 0.806 0.608 0.392
Cl3 0.306 0.892 0.108
Cl4 0.694 0.108 0.892
S1 0.533 0.520 0.805
S2 0.467 0.480 0.195
S3 0.642 0.020 0.305
S4 0.967 0.695 0.980
S5 0.358 0.980 0.695
S6 0.858 0.195 0.480
S7 0.142 0.805 0.520
S8 0.033 0.305 0.020
Cd1 0.306 0.099 0.901
Cd2 0.750 0.250 0.250
Cd3 0.750 0.549 0.951
Cd4 0.806 0.401 0.599
Cd5 0.694 0.901 0.099
Cd6 0.250 0.049 0.451
Cd7 0.194 0.599 0.401
Cd8 0.750 0.951 0.549
Cd9 0.250 0.451 0.049
Cd10 0.250 0.750 0.750

=====

two.
Density functional theory data (meta-GGA SCAN) for a PBEsol-optimized structure of Cd5S4Cl2.

Total magnetic moment: 0.0 μB per formula unit
Theoretical density: 4.45 Mg/m³
V: 284 Å³ per cell

Cell lengths 4.214, 7.386, 9.635 Å; angles 98.72, 90.00, 106.58 degrees
Element x y z (fractional)
Cd1 0.182 0.364 0.274
Cd2 0.832 0.663 0.990
Cd3 0.555 0.109 0.926
Cd4 0.855 0.711 0.616
Cd5 0.450 0.900 0.331
S1 0.594 0.187 0.190
S2 0.317 0.635 0.120
S3 0.312 0.624 0.488
S4 0.965 0.929 0.846
Cl1 0.693 0.385 0.785
Cl2 0.024 0.049 0.467

=====

Winner for stability: two

=====

one.
Density functional theory data (meta-GGA SCAN) for a PBEsol-optimized structure of CdSbCl2.

Total magnetic moment: 0.0 μB per formula unit
Theoretical density: 5.00 Mg/m³
V: 101 Å³ per cell

Cell lengths 3.677, 3.677, 8.916 Å; angles 78.10, 78.10, 60.00 degrees
Element x y z (fractional)
Cl1 0.981 0.981 0.057
Cl2 0.762 0.762 0.715
Sb1 0.503 0.503 0.492
Cd1 0.255 0.255 0.236

=====

two.
Density functional theory data (meta-GGA SCAN) for a PBEsol-optimized structure of CdSbCl2.

Total magnetic moment: 0.0 μB per formula unit
Theoretical density: 4.36 Mg/m³
V: 116 Å³ per cell

Cell lengths 3.489, 3.489, 11.198 Å; angles 81.04, 81.04, 60.00 degrees
Element x y z (fractional)
Sb1 0.500 0.500 0.500
Cd1 0.000 0.000 0.000
Cl1 0.716 0.716 0.853
Cl2 0.284 0.284 0.147

=====

three.
Density functional theory data (meta-GGA SCAN) for a PBEsol-optimized structure of CdSbCl2.

Total magnetic moment: 0.0 μB per formula unit
Theoretical density: 5.70 Mg/m³
V: 89 Å³ per cell

Cell lengths 4.339, 4.526, 4.526 Å; angles 90.00, 90.00, 90.00 degrees
Element x y z (fractional)
Cl1 0.000 0.000 0.500
Cl2 0.000 0.500 0.000
Cd1 0.500 0.000 0.000
Sb1 0.500 0.500 0.500

=====

Winner for stability: two

=====

one.
Density functional theory data (meta-GGA SCAN) for a PBEsol-optimized structure of CdSbCl2.

Total magnetic moment: 0.0 μB per formula unit
Theoretical density: 5.16 Mg/m³
V: 98 Å³ per cell

Cell lengths 3.601, 5.522, 5.938 Å; angles 117.71, 107.65, 90.00 degrees
Element x y z (fractional)
Cd1 0.000 0.500 0.000
Sb1 0.500 0.000 0.000
Cl1 0.795 0.795 0.589
Cl2 0.205 0.205 0.411

=====

two.
Density functional theory data (meta-GGA SCAN) for a PBEsol-optimized structure of CdSbCl2.

Total magnetic moment: 0.3 μB per formula unit
Theoretical density: 5.32 Mg/m³
V: 95 Å³ per cell

Cell lengths 4.015, 4.015, 6.555 Å; angles 107.83, 107.83, 90.00 degrees
Last column: magnetic moment on the atom in μB.
Element x y z (fractional)
Cd1 0.250 0.750 0.500  -0.02
Cl1 0.000 0.000 0.000  0.01
Cl2 0.750 0.250 0.500  0.01
Sb1 0.500 0.500 0.000  0.12

=====

Winner for stability: one

=====

one.
Density functional theory data (meta-GGA SCAN) for a PBEsol-optimized structure of Cd2SbCl.

Total magnetic moment: 0.0 μB per formula unit
Theoretical density: 4.64 Mg/m³
V: 274 Å³ per cell

Cell lengths 6.308, 6.308, 8.195 Å; angles 112.63, 112.63, 90.00 degrees
Element x y z (fractional)
Cl1 0.500 0.500 0.000
Cl2 0.750 0.250 0.500
Sb1 0.250 0.750 0.500
Sb2 0.000 0.000 0.000
Cd1 0.891 0.375 0.250
Cd2 0.125 0.109 0.750
Cd3 0.625 0.641 0.750
Cd4 0.359 0.875 0.250

=====

two.
Density functional theory data (meta-GGA SCAN) for a PBEsol-optimized structure of Cd2SbCl.

Total magnetic moment: 0.0 μB per formula unit
Theoretical density: 6.78 Mg/m³
V: 94 Å³ per cell

Cell lengths 3.144, 5.796, 6.102 Å; angles 118.36, 104.93, 90.00 degrees
Element x y z (fractional)
Sb1 0.265 0.765 0.531
Cl1 0.470 0.470 0.940
Cd1 0.751 0.251 0.502
Cd2 0.014 0.014 0.027

=====

three.
Density functional theory data (meta-GGA SCAN) for a PBEsol-optimized structure of Cd2SbCl.

Total magnetic moment: 0.0 μB per formula unit
Theoretical density: 6.45 Mg/m³
V: 98 Å³ per cell

Cell lengths 3.872, 4.429, 5.739 Å; angles 90.00, 90.00, 90.00 degrees
Element x y z (fractional)
Sb1 0.500 0.500 0.500
Cd1 0.500 0.500 0.000
Cd2 0.000 0.000 0.500
Cl1 0.000 0.000 0.000

=====

Winner for stability: one

=====

one.
Density functional theory data (meta-GGA SCAN) for a PBEsol-optimized structure of CdSbCl.

Total magnetic moment: 0.0 μB per formula unit
Theoretical density: 5.98 Mg/m³
V: 75 Å³ per cell

Cell lengths 3.458, 3.458, 7.228 Å; angles 90.00, 90.00, 120.00 degrees
Element x y z (fractional)
Cl1 0.333 0.667 0.736
Sb1 0.667 0.333 0.291
Cd1 0.000 0.000 0.973

=====

two.
Density functional theory data (meta-GGA SCAN) for a PBEsol-optimized structure of CdSbCl.

Total magnetic moment: 0.0 μB per formula unit
Theoretical density: 5.34 Mg/m³
V: 84 Å³ per cell

Cell lengths 4.912, 4.912, 4.912 Å; angles 60.00, 60.00, 60.00 degrees
Element x y z (fractional)
Cl1 0.500 0.500 0.500
Cd1 0.000 0.000 0.000
Sb1 0.250 0.250 0.250

=====

Winner for stability: one

=====

one.
Density functional theory data (meta-GGA SCAN) for a PBEsol-optimized structure of Sc2CdCl.

Total magnetic moment: 0.9 μB per formula unit
Theoretical density: 4.29 Mg/m³
V: 92 Å³ per cell

Cell lengths 3.193, 3.193, 9.033 Å; angles 90.00, 90.00, 90.00 degrees
Last column: magnetic moment on the atom in μB.
Element x y z (fractional)
Cl1 0.500 0.500 0.820  0.01
Cd1 0.000 0.000 0.462  0.01
Sc1 0.000 0.000 0.981  0.35
Sc2 0.500 0.500 0.237  0.18

=====

two.
Density functional theory data (meta-GGA SCAN) for a PBEsol-optimized structure of Sc2CdCl.

Total magnetic moment: 0.0 μB per formula unit
Theoretical density: 4.81 Mg/m³
V: 82 Å³ per cell

Cell lengths 4.877, 4.877, 4.877 Å; angles 60.00, 60.00, 60.00 degrees
Element x y z (fractional)
Cl1 0.000 0.000 0.000
Sc1 0.250 0.250 0.250
Sc2 0.750 0.750 0.750
Cd1 0.500 0.500 0.500

=====

three.
Density functional theory data (meta-GGA SCAN) for a PBEsol-optimized structure of Sc2CdCl.

Total magnetic moment: 0.0 μB per formula unit
Theoretical density: 4.88 Mg/m³
V: 81 Å³ per cell

Cell lengths 3.158, 3.158, 8.794 Å; angles 90.00, 90.00, 112.80 degrees
Element x y z (fractional)
Sc1 0.000 0.000 0.230
Sc2 0.000 0.000 0.770
Cl1 0.500 0.500 0.000
Cd1 0.500 0.500 0.500

=====

Winner for stability: one

=====

one.
Density functional theory data (meta-GGA SCAN) for a PBEsol-optimized structure of CdSe2Cl.

Total magnetic moment: 0.0 μB per formula unit
Theoretical density: 5.64 Mg/m³
V: 90 Å³ per cell

Cell lengths 4.010, 4.010, 6.870 Å; angles 73.03, 73.03, 60.00 degrees
Element x y z (fractional)
Cd1 0.500 0.500 0.500
Se1 0.761 0.761 0.716
Se2 0.239 0.239 0.284
Cl1 0.000 0.000 0.000

=====

two.
Density functional theory data (meta-GGA SCAN) for a PBEsol-optimized structure of CdSe2Cl.

Total magnetic moment: 0.0 μB per formula unit
Theoretical density: 5.86 Mg/m³
V: 87 Å³ per cell

Cell lengths 3.305, 3.305, 7.934 Å; angles 90.00, 90.00, 90.00 degrees
Element x y z (fractional)
Se1 0.500 0.500 0.244
Se2 0.000 0.000 0.056
Cd1 0.000 0.000 0.504
Cl1 0.500 0.500 0.696

=====

three.
Density functional theory data (meta-GGA SCAN) for a PBEsol-optimized structure of CdSe2Cl.

Total magnetic moment: 0.0 μB per formula unit
Theoretical density: 6.25 Mg/m³
V: 81 Å³ per cell

Cell lengths 3.048, 5.164, 5.164 Å; angles 90.00, 90.00, 90.00 degrees
Element x y z (fractional)
Cd1 0.500 0.500 0.500
Se1 0.000 0.000 0.500
Se2 0.000 0.500 0.000
Cl1 0.500 0.000 0.000

=====

Winner for stability: two

=====

one.
Density functional theory data (meta-GGA SCAN) for a PBEsol-optimized structure of CdSe2Cl.

Total magnetic moment: 0.0 μB per formula unit
Theoretical density: 6.17 Mg/m³
V: 82 Å³ per cell

Cell lengths 3.010, 3.010, 10.630 Å; angles 81.86, 81.86, 60.00 degrees
Element x y z (fractional)
Cl1 0.500 0.500 0.500
Se1 0.083 0.083 0.752
Se2 0.917 0.917 0.248
Cd1 0.000 0.000 0.000

=====

two.
Density functional theory data (meta-GGA SCAN) for a PBEsol-optimized structure of CdSe2Cl.

Total magnetic moment: 0.0 μB per formula unit
Theoretical density: 5.31 Mg/m³
V: 96 Å³ per cell

Cell lengths 3.453, 5.617, 5.617 Å; angles 71.66, 72.10, 72.10 degrees
Element x y z (fractional)
Cd1 0.499 0.501 0.501
Se1 0.968 0.032 0.032
Se2 0.251 0.249 0.249
Cl1 0.782 0.718 0.718

=====

Winner for stability: two

=====

one.
Density functional theory data (meta-GGA SCAN) for a PBEsol-optimized structure of CdSiCl2.

Total magnetic moment: 0.0 μB per formula unit
Theoretical density: 3.38 Mg/m³
V: 104 Å³ per cell

Cell lengths 3.623, 3.623, 9.384 Å; angles 78.87, 78.87, 60.00 degrees
Element x y z (fractional)
Cl1 0.778 0.778 0.667
Cl2 0.222 0.222 0.333
Cd1 0.000 0.000 0.000
Si1 0.500 0.500 0.500

=====

two.
Density functional theory data (meta-GGA SCAN) for a PBEsol-optimized structure of CdSiCl2.

Total magnetic moment: 0.0 μB per formula unit
Theoretical density: 3.57 Mg/m³
V: 98 Å³ per cell

Cell lengths 3.823, 5.233, 5.944 Å; angles 117.53, 108.76, 90.00 degrees
Element x y z (fractional)
Cl1 0.757 0.222 0.514
Cl2 0.977 0.931 0.954
Si1 0.580 0.782 0.160
Cd1 0.186 0.566 0.371

=====

Winner for stability: two

=====

one.
Density functional theory data (meta-GGA SCAN) for a PBEsol-optimized structure of CdTe2Cl.

Total magnetic moment: 0.0 μB per formula unit
Theoretical density: 6.88 Mg/m³
V: 97 Å³ per cell

Cell lengths 3.306, 5.425, 5.425 Å; angles 90.00, 90.00, 90.00 degrees
Element x y z (fractional)
Cd1 0.500 0.500 0.500
Te1 0.000 0.500 0.000
Te2 0.000 0.000 0.500
Cl1 0.500 0.000 0.000

=====

two.
Density functional theory data (meta-GGA SCAN) for a PBEsol-optimized structure of CdTe2Cl.

Total magnetic moment: 0.0 μB per formula unit
Theoretical density: 6.53 Mg/m³
V: 103 Å³ per cell

Cell lengths 3.509, 3.509, 8.328 Å; angles 90.00, 90.00, 90.00 degrees
Element x y z (fractional)
Cl1 0.500 0.500 0.688
Te1 0.500 0.500 0.260
Te2 0.000 0.000 0.034
Cd1 0.000 0.000 0.519

=====

Winner for stability: two

=====

one.
Density functional theory data (meta-GGA SCAN) for a PBEsol-optimized structure of TlCdCl2.

Total magnetic moment: 0.0 μB per formula unit
Theoretical density: 6.34 Mg/m³
V: 102 Å³ per cell

Cell lengths 3.549, 4.454, 7.026 Å; angles 108.48, 104.63, 90.00 degrees
Element x y z (fractional)
Cl1 0.733 0.233 0.466
Cl2 0.937 0.937 0.874
Tl1 0.556 0.556 0.112
Cd1 0.274 0.774 0.548

=====

two.
Density functional theory data (meta-GGA SCAN) for a PBEsol-optimized structure of TlCdCl2.

Total magnetic moment: 0.0 μB per formula unit
Theoretical density: 5.97 Mg/m³
V: 108 Å³ per cell

Cell lengths 4.304, 4.606, 6.556 Å; angles 107.83, 90.00, 117.85 degrees
Element x y z (fractional)
Cl1 0.760 0.520 0.787
Cl2 0.240 0.480 0.213
Cd1 0.500 0.000 0.000
Tl1 0.000 0.000 0.500

=====

Winner for stability: one